Below is crystalline VHgF2 at its relaxed geometry, with properties calculated at the PBE with a Hubbard U level.

a = 4.4293 Å, b = 4.4293 Å, c = 4.4293 Å
α = 60.00°, β = 60.00°, γ = 60.00°
Atoms (fractional coordinates):
V 0.0000 0.0000 0.0000
Hg 0.5000 0.5000 0.5000
F 0.2500 0.2500 0.2500
F 0.7500 0.7500 0.7500

* total energy: -14.73 eV per cell
* polymorph energy (0 for the lowest one): 1102 meV/atom